[1]
## FeTcPO2 (GGA+U)

Data for an optimized crystal structure of FeTcPO2.

a = 3.668 Å, b = 3.668 Å, c = 5.373 Å
α = 90.00°, β = 90.00°, γ = 90.00°
Each line ends with the local moment (μB).
Positions (direct):
P 0.000 0.000 0.500  -0.06
Tc 0.500 0.500 0.500  2.95
O 0.000 0.500 0.000  0.32
O 0.500 0.000 0.000  0.32
Fe 0.000 0.000 0.000  3.92

**Space group**: P4/mmm, No. 123
**DOS(E_F)**: 2.750 states/eV/cell
**Theoretical density**: 4979 kg/m³
**VASP energy**: -6.17 eV per atom

---

[2]
## FeTcPO2 (GGA+U)

Data for an optimized crystal structure of FeTcPO2.

a = 3.778 Å, b = 3.778 Å, c = 5.147 Å
α = 90.00°, β = 90.00°, γ = 90.00°
Each line ends with the local moment (μB).
Positions (direct):
P 0.000 0.000 0.500  0.00
Tc 0.000 0.000 0.000  0.03
O 0.000 0.500 0.000  0.02
O 0.500 0.000 0.000  0.02
Fe 0.500 0.500 0.500  3.84

**Space group**: P4/mmm, No. 123
**DOS(E_F)**: 1.273 states/eV/cell
**Theoretical density**: 4901 kg/m³
**VASP energy**: -6.75 eV per atom

---

[3]
## V3Fe2TeP6O24 (GGA+U)

Data for an optimized crystal structure of V3Fe2TeP6O24.

a = 8.640 Å, b = 8.758 Å, c = 8.758 Å
α = 60.00°, β = 59.55°, γ = 59.55°
Each line ends with the local moment (μB).
Positions (direct):
V 0.066 0.645 0.645  1.40
V 0.428 0.857 0.857  1.82
V 0.926 0.358 0.358  1.86
Fe 0.009 0.997 0.997  3.80
Fe 0.497 0.501 0.501  3.80
Te 0.564 0.145 0.145  0.00
P 0.243 0.253 0.554  0.01
P 0.243 0.950 0.253  0.01
P 0.243 0.554 0.950  0.01
P 0.751 0.464 0.042  0.01
P 0.751 0.042 0.743  0.01
P 0.751 0.743 0.464  0.01
O 0.074 0.114 0.311  -0.02
O 0.074 0.501 0.114  -0.02
O 0.074 0.311 0.501  -0.02
O 0.227 0.092 0.745  0.00
O 0.437 0.191 0.402  0.00
O 0.258 0.413 0.572  -0.01
O 0.227 0.936 0.092  0.00
O 0.258 0.756 0.413  -0.01
O 0.568 0.612 0.003  -0.03
O 0.258 0.572 0.756  -0.01
O 0.786 0.266 0.048  0.01
O 0.568 0.003 0.816  -0.03
O 0.437 0.970 0.191  0.00
O 0.227 0.745 0.936  0.00
O 0.729 0.443 0.239  -0.01
O 0.437 0.402 0.970  0.00
O 0.729 0.239 0.589  -0.01
O 0.786 0.048 0.901  0.01
O 0.729 0.589 0.443  -0.01
O 0.568 0.816 0.612  -0.03
O 0.786 0.901 0.266  0.01
O 0.930 0.671 0.511  -0.03
O 0.930 0.511 0.889  -0.03
O 0.930 0.889 0.671  -0.03

**Space group**: R3, No. 146
**DOS(E_F)**: 11.501 states/eV/cell
**Theoretical density**: 3432 kg/m³
**VASP energy**: -7.22 eV per atom

---

> Look up the DOS(E_F) of the first one.

2.750 states/eV/cell

---

> The lowest VASP energy belongs to which entry?

V3Fe2TeP6O24

---

> Which formula does entry 2 have?

FeTcPO2

---

> Which value of theoretical density does entry 2 give?

4901 kg/m³